Density functional theory data (GGA-PBE) for crystalline K2MgRe at its relaxed geometry.

## Properties
* ρ: 4.842 g cm⁻³
* relative energy among the computed polymorphs: 182 meV/atom
* VASP energy: -2.957 eV/atom
* calculated volume: 24.75 Å³/atom
* E_form: 1.10 eV per atom

abc: 2.8992 2.8992 12.4930
angles: 90.00 90.00 109.45
Closest atoms and distances in Å follow each position.
Fractional positions:
Mg (0.5000, 0.5000, 0.2500)  4 Mg 2.90
Re (0.5000, 0.5000, 0.7500)  4 Re 2.90
K (0.0000, 0.0000, 0.5234)  4 K 2.90
K (0.0000, 0.0000, 0.9766)  4 K 2.90